Computed, not measured: a relaxed structure of Pr6AsCl8 at the PBE level of DFT.

- Volume: 1368.29 Å³ per cell
- VASP energy: -5.00 eV per atom
- ΔE_f (raw): -1793 meV/atom

Cell: 7.1942 7.1942 30.5268 Å, 90.00 90.00 120.00°
Space group R-3 (No. 148, hexagonal axes)
One atom of each set of equivalent atoms:
1 Pr 0.0000 0.3311 0.4476 x18
2 As 0.0000 0.0000 0.5000 x3
3 Cl 0.0000 0.0000 0.1667 x6
4 Cl 0.0001 0.3289 0.6072 x18

---

Computed, not measured: a relaxed structure of Pr3AsCl3 at the PBE level of DFT.

- Volume: 1376.57 Å³ per cell
- VASP energy: -5.25 eV per atom
- ΔE_f (raw): -1744 meV/atom

Cell: 7.2184 7.2184 30.5056 Å, 90.00 90.00 120.00°
Space group R-3 (No. 148, hexagonal axes)
One atom of each set of equivalent atoms:
1 Pr 0.0000 0.3372 0.0547 x18
2 As 0.0000 0.0000 0.3333 x6
3 Cl 0.9999 0.3324 0.8907 x18

---

Computed, not measured: a relaxed structure of Pr8As6Cl at the PBE level of DFT.

- Volume: 495.34 Å³ per cell
- VASP energy: -5.73 eV per atom
- ΔE_f (raw): -1203 meV/atom

Cell: 11.3613 11.3613 4.4312 Å, 90.00 90.00 120.00°
Space group P-3 (No. 147)
One atom of each set of equivalent atoms:
1 Pr 0.0365 0.3672 0.2443 x6
2 Pr 0.3333 0.6667 0.7533 x2
3 As 0.1416 0.6651 0.2547 x6
4 Cl 0.0000 0.0000 0.0000 x1

---

Computed, not measured: a relaxed structure of Pr7AsCl12 at the PBE level of DFT.

- Volume: 1923.28 Å³ per cell
- VASP energy: -5.01 eV per atom
- ΔE_f (raw): -1999 meV/atom

Cell: 14.9319 14.9319 9.9606 Å, 90.00 90.00 120.00°
Space group R-3 (No. 148, hexagonal axes)
One atom of each set of equivalent atoms:
1 Pr 0.0000 0.0000 0.0000 x3
2 Pr 0.0430 0.8714 0.3411 x18
3 As 0.0000 0.0000 0.5000 x3
4 Cl 0.0261 0.4437 0.1625 x18
5 Cl 0.0437 0.8703 0.8391 x18

---

Computed, not measured: a relaxed structure of Pr4AsPtCl2 at the PBE level of DFT.

- Volume: 220.82 Å³ per cell
- VASP energy: -5.59 eV per atom
- ΔE_f (raw): -1407 meV/atom

Cell: 7.314 4.179 7.626 Å, 90.00 108.64 90.00°
Space group P2/m (No. 10)
One atom of each set of equivalent atoms:
1 Pr 0.223 0.000 0.230 x2
2 Pr 0.233 0.500 0.744 x2
3 As 0.000 0.000 0.500 x1
4 Pt 0.000 0.500 0.000 x1
5 Cl 0.500 0.000 0.000 x1
6 Cl 0.500 0.500 0.500 x1

---

Computed, not measured: a relaxed structure of Pr4AsRhCl2 at the PBE level of DFT.

- Volume: 221.83 Å³ per cell
- VASP energy: -5.65 eV per atom
- ΔE_f (raw): -1296 meV/atom

Cell: 7.418 4.121 7.622 Å, 90.00 107.82 90.00°
Space group P2/m (No. 10)
One atom of each set of equivalent atoms:
1 Pr 0.214 0.000 0.223 x2
2 Pr 0.226 0.500 0.747 x2
3 As 0.000 0.000 0.500 x1
4 Rh 0.000 0.500 0.000 x1
5 Cl 0.500 0.000 0.000 x1
6 Cl 0.500 0.500 0.500 x1